! CsCdAu2Se | the Alexandria database | PBE | optimized geometry; values from VASP
! * crystal system: tetragonal
! * energy relative to the elements, uncorrected: 1131 meV/atom
! * electronic total energy: -1.230 eV/atom
! * SG: P4/mmm (123)
&SYSTEM
  ibrav = 0, nat = 5, ntyp = 4
/
ATOMIC_SPECIES
Cs 132.91 Cs.upf
Se 78.96 Se.upf
Au 196.97 Au.upf
Cd 112.41 Cd.upf
CELL_PARAMETERS angstrom
-5.619 -0.519 2.651
-1.251 -6.168 -3.860
2.486 -3.387 4.607
ATOMIC_POSITIONS crystal
Cs 0.000 0.000 0.000
Se 0.500 0.500 0.500
Au 0.500 0.000 0.000
Au 0.000 0.000 0.500
Cd 0.000 0.500 0.000

=====

! NaCe2PmTe4 | the Alexandria database | PBE | optimized geometry; values from VASP
! * crystal system: monoclinic
! * energy relative to the elements, uncorrected: -1331 meV/atom
! * electronic total energy: -5.144 eV/atom
! * SG: P2/m (10)
&SYSTEM
  ibrav = 0, nat = 8, ntyp = 4
/
ATOMIC_SPECIES
Te 127.60 Te.upf
Pm 145.00 Pm.upf
Ce 140.12 Ce.upf
Na 22.99 Na.upf
CELL_PARAMETERS angstrom
4.484 0.000 0.000
0.000 7.816 -0.167
0.000 2.734 7.322
ATOMIC_POSITIONS crystal
Te 0.500 0.253 0.750
Te 0.500 0.747 0.250
Te 0.000 0.746 0.750
Te 0.000 0.254 0.250
Pm 0.500 0.500 0.000
Ce 0.500 0.000 0.500
Ce 0.000 0.000 0.000
Na 0.000 0.500 0.500

=====

! AlBSb2Te | the Alexandria database | PBE | optimized geometry; values from VASP
! * crystal system: tetragonal
! * energy relative to the lowest polymorph listed for this composition: 276 kJ/mol of formula units
! * energy relative to the elements, uncorrected: 1310 meV/atom
! * electronic total energy: -3.051 eV/atom
! * SG: P4/mmm (123)
&SYSTEM
  ibrav = 0, nat = 5, ntyp = 4
/
ATOMIC_SPECIES
Te 127.60 Te.upf
Al 26.98 Al.upf
B 10.81 B.upf
Sb 121.76 Sb.upf
CELL_PARAMETERS angstrom
5.230 0.000 0.000
0.000 5.230 0.000
0.000 0.000 5.375
ATOMIC_POSITIONS crystal
Te 0.000 0.000 0.500
Al 0.000 0.000 0.000
B 0.500 0.500 0.500
Sb 0.500 0.000 0.000
Sb 0.000 0.500 0.000

=====

! Ba2ZrCo | the Alexandria database | PBE | optimized geometry; values from VASP
! * DFT formation energy: 90.5 kJ/mol of atoms
! * crystal system: tetragonal
! * energy relative to the lowest polymorph listed for this composition: 264 kJ/mol of formula units
! * electronic total energy: -3.936 eV/atom
! * SG: P4/mmm (123)
&SYSTEM
  ibrav = 0, nat = 4, ntyp = 3
/
ATOMIC_SPECIES
Zr 91.22 Zr.upf
Co 58.93 Co.upf
Ba 137.33 Ba.upf
CELL_PARAMETERS angstrom
5.810 0.000 0.000
0.000 5.810 0.000
0.000 0.000 3.703
ATOMIC_POSITIONS crystal
Zr 0.000 0.500 0.500
Co 0.500 0.000 0.500
Ba 0.000 0.000 0.000
Ba 0.500 0.500 0.000

=====

! BaIn2Mo | the Alexandria database | PBE | optimized geometry; values from VASP
! * DFT formation energy: 59.4 kJ/mol of atoms
! * crystal system: tetragonal
! * energy relative to the lowest polymorph listed for this composition: 147 kJ/mol of formula units
! * electronic total energy: -3.942 eV/atom
! * SG: P4/mmm (123)
&SYSTEM
  ibrav = 0, nat = 4, ntyp = 3
/
ATOMIC_SPECIES
Mo 95.94 Mo.upf
Ba 137.33 Ba.upf
In 114.82 In.upf
CELL_PARAMETERS angstrom
-0.125 4.944 0.953
-3.394 -0.719 3.285
3.360 -0.561 3.350
ATOMIC_POSITIONS crystal
Mo 0.500 0.500 0.000
Ba 0.500 0.000 0.500
In 0.000 0.500 0.500
In 0.000 0.000 0.000

=====

! CoNiN2 | the Alexandria database | PBE | optimized geometry; values from VASP
! * crystal system: cubic
! * energy relative to the lowest polymorph listed for this composition: 316 kJ/mol of formula units
! * energy relative to the elements, uncorrected: 1068 meV/atom
! * electronic total energy: -6.316 eV/atom
! * SG: Fm-3m (225)
&SYSTEM
  ibrav = 0, nat = 4, ntyp = 3
/
ATOMIC_SPECIES
N 14.01 N.upf
Co 58.93 Co.upf
Ni 58.69 Ni.upf
CELL_PARAMETERS angstrom
0.000 2.531 2.531
2.531 0.000 2.531
2.531 2.531 0.000
ATOMIC_POSITIONS crystal
N 0.750 0.750 0.750
N 0.250 0.250 0.250
Co 0.000 0.000 0.000
Ni 0.500 0.500 0.500

=====

! SrCoSi2Rh | the Alexandria database | PBE | optimized geometry; values from VASP
! * crystal system: tetragonal
! * energy relative to the elements, uncorrected: -702 meV/atom
! * electronic total energy: -6.099 eV/atom
! * SG: I-4m2 (119)
&SYSTEM
  ibrav = 0, nat = 5, ntyp = 4
/
ATOMIC_SPECIES
Si 28.09 Si.upf
Sr 87.62 Sr.upf
Co 58.93 Co.upf
Rh 102.91 Rh.upf
CELL_PARAMETERS angstrom
-0.276 0.669 -3.992
-2.415 -3.238 -0.376
-2.880 4.343 2.988
ATOMIC_POSITIONS crystal
Si 0.637 0.637 0.275
Si 0.363 0.363 0.725
Sr 0.000 0.000 0.000
Co 0.750 0.250 0.500
Rh 0.250 0.750 0.500

=====

! Tl2TePd2 | the Alexandria database | PBE | optimized geometry; values from VASP
! * crystal system: tetragonal
! * energy relative to the lowest polymorph listed for this composition: 137 kJ/mol of formula units
! * energy relative to the elements, uncorrected: 44 meV/atom
! * electronic total energy: -3.608 eV/atom
! * SG: P4/mbm (127)
&SYSTEM
  ibrav = 0, nat = 10, ntyp = 3
/
ATOMIC_SPECIES
Tl 204.38 Tl.upf
Pd 106.42 Pd.upf
Te 127.60 Te.upf
CELL_PARAMETERS angstrom
8.533 0.000 0.000
0.000 8.533 0.000
0.000 0.000 3.108
ATOMIC_POSITIONS crystal
Tl 0.830 0.670 0.000
Tl 0.670 0.170 0.000
Tl 0.170 0.330 0.000
Tl 0.330 0.830 0.000
Pd 0.379 0.121 0.500
Pd 0.621 0.879 0.500
Pd 0.121 0.621 0.500
Pd 0.879 0.379 0.500
Te 0.000 0.000 0.000
Te 0.500 0.500 0.000

=====

! MnFe2Cu | the Alexandria database | PBE | optimized geometry; values from VASP
! * DFT formation energy: 15.3 kJ/mol of atoms
! * crystal system: tetragonal
! * electronic total energy: -7.389 eV/atom
! * SG: P4mm (99)
&SYSTEM
  ibrav = 0, nat = 4, ntyp = 3
/
ATOMIC_SPECIES
Mn 54.94 Mn.upf
Fe 55.84 Fe.upf
Cu 63.55 Cu.upf
CELL_PARAMETERS angstrom
-2.149 1.071 -0.702
0.690 -0.186 -2.398
-3.152 -6.582 -0.395
ATOMIC_POSITIONS crystal
Mn 0.000 0.000 0.489
Fe 0.500 0.500 0.251
Fe 0.000 0.000 0.009
Cu 0.500 0.500 0.751

=====

! BeHgGe | the Alexandria database | PBE | optimized geometry; values from VASP
! * DFT formation energy: 25.5 kJ/mol of atoms
! * crystal system: triclinic
! * electronic total energy: -2.617 eV/atom
! * SG: P1 (1)
&SYSTEM
  ibrav = 0, nat = 6, ntyp = 3
/
ATOMIC_SPECIES
Be 9.01 Be.upf
Ge 72.64 Ge.upf
Hg 200.59 Hg.upf
CELL_PARAMETERS angstrom
-0.147 -2.728 1.467
7.377 -4.217 -5.871
2.810 -0.250 3.074
ATOMIC_POSITIONS crystal
Be 0.815 0.895 0.061
Be 0.648 0.080 0.329
Ge 0.928 0.133 0.753
Ge 0.101 0.893 0.492
Hg 0.852 0.637 0.114
Hg 0.909 0.409 0.633

=====

! Tc2PW | the Alexandria database | PBE | optimized geometry; values from VASP
! * DFT formation energy: 9.9 kJ/mol of atoms
! * crystal system: monoclinic
! * electronic total energy: -9.672 eV/atom
! * SG: C2/m (12)
&SYSTEM
  ibrav = 0, nat = 4, ntyp = 3
/
ATOMIC_SPECIES
P 30.97 P.upf
Tc 98.00 Tc.upf
W 183.84 W.upf
CELL_PARAMETERS angstrom
1.459 -2.464 -3.419
1.706 -3.994 -1.015
-4.330 -1.986 -0.818
ATOMIC_POSITIONS crystal
P 0.500 0.500 0.000
Tc 0.746 0.746 0.236
Tc 0.254 0.254 0.764
W 0.000 0.000 0.500

=====

! TaCrCl2 | the Alexandria database | PBE | optimized geometry; values from VASP
! * crystal system: cubic
! * energy relative to the lowest polymorph listed for this composition: 378 kJ/mol of formula units
! * energy relative to the elements, uncorrected: 583 meV/atom
! * electronic total energy: -5.710 eV/atom
! * SG: Fm-3m (225)
&SYSTEM
  ibrav = 0, nat = 4, ntyp = 3
/
ATOMIC_SPECIES
Cl 35.45 Cl.upf
Ta 180.95 Ta.upf
Cr 52.00 Cr.upf
CELL_PARAMETERS angstrom
-3.972 -1.980 0.577
-1.919 -0.030 4.043
-3.646 2.480 0.765
ATOMIC_POSITIONS crystal
Cl 0.750 0.750 0.750
Cl 0.250 0.250 0.250
Ta 0.500 0.500 0.500
Cr 0.000 0.000 0.000

=====

! PmUIrRu | the Alexandria database | PBE | optimized geometry; values from VASP
! * DFT formation energy: -25.5 kJ/mol of atoms
! * crystal system: cubic
! * electronic total energy: -8.808 eV/atom
! * SG: F-43m (216)
&SYSTEM
  ibrav = 0, nat = 4, ntyp = 4
/
ATOMIC_SPECIES
Ru 101.07 Ru.upf
Pm 145.00 Pm.upf
Ir 192.22 Ir.upf
U 238.03 U.upf
CELL_PARAMETERS angstrom
-1.621 -4.569 0.545
0.866 -3.325 -3.463
3.157 -3.625 0.834
ATOMIC_POSITIONS crystal
Ru 0.750 0.750 0.750
Pm 0.500 0.500 0.500
Ir 0.250 0.250 0.250
U 0.000 0.000 0.000

=====

! PrPHPd | the Alexandria database | PBE | optimized geometry; values from VASP
! * crystal system: hexagonal
! * electronic total energy: -5.626 eV/atom
! * SG: P-6m2 (187)
&SYSTEM
  ibrav = 0, nat = 4, ntyp = 4
/
ATOMIC_SPECIES
Pr 140.91 Pr.upf
P 30.97 P.upf
H 1.01 H.upf
Pd 106.42 Pd.upf
CELL_PARAMETERS angstrom
4.288 0.000 0.000
-2.144 3.713 0.006
0.000 -0.006 3.967
ATOMIC_POSITIONS crystal
Pr 0.572 0.144 0.310
P 0.905 0.811 0.809
H 0.239 0.477 0.310
Pd 0.239 0.477 0.810